Record 1
# ZrMn2Cl

Crystalline ZrMn2Cl at its relaxed geometry (PBE, Alexandria).

Results
Space-group type   Fm-3m
Distance to the lowest polymorph of the same formula   0.772 eV per atom

POSCAR file:
```
ZrMn2Cl
1.0
-1.4267 3.2325 2.9700
-2.4145 3.6278 -1.5215
-4.4857 0.3787 1.0198
Cl Mn Zr
1 2 1
direct
0.0000 0.0000 0.0000 Cl
0.2500 0.2500 0.2500 Mn
0.7500 0.7500 0.7500 Mn
0.5000 0.5000 0.5000 Zr
```

Record 2
# ZrMnCl2

Crystalline ZrMnCl2 at its relaxed geometry (PBE, Alexandria).

Results
Space-group type   P4/mmm
Distance to the lowest polymorph of the same formula   0.451 eV per atom

POSCAR file:
```
ZrMnCl2
1.0
3.1365 0.0000 0.0000
0.0000 3.1365 0.0000
0.0000 0.0000 10.2567
Mn Zr Cl
1 1 2
direct
0.5000 0.5000 0.2500 Mn
0.5000 0.5000 0.7500 Zr
0.0000 0.0000 0.9040 Cl
0.0000 0.0000 0.5960 Cl
```

Record 3
# ZrMn2Cl

Crystalline ZrMn2Cl at its relaxed geometry (PBE, Alexandria).

Results
Space-group type   P4/mmm
Distance to the lowest polymorph of the same formula   0.474 eV per atom

POSCAR file:
```
ZrMn2Cl
1.0
4.8660 0.0000 0.0000
0.0000 3.7158 0.0000
0.0000 0.0000 3.7158
Mn Zr Cl
2 1 1
direct
0.0000 0.0000 0.0000 Mn
0.0000 0.5000 0.5000 Mn
0.5000 0.5000 0.0000 Zr
0.5000 0.0000 0.5000 Cl
```

Record 4
# ZrMn2Cl

Crystalline ZrMn2Cl at its relaxed geometry (PBE, Alexandria).

Results
Space-group type   F-43m
Distance to the lowest polymorph of the same formula   0.608 eV per atom

POSCAR file:
```
ZrMn2Cl
1.0
4.6064 0.0000 0.0000
2.3032 3.9893 0.0000
2.3032 1.3298 3.7612
Zr Cl Mn
1 1 2
direct
0.7500 0.7500 0.7500 Zr
0.5000 0.5000 0.5000 Cl
0.0000 0.0000 0.0000 Mn
0.2500 0.2500 0.2500 Mn
```

Record 5
# ZrMnCl2

Crystalline ZrMnCl2 at its relaxed geometry (PBE, Alexandria).

Results
Space-group type   F-43m
Distance to the lowest polymorph of the same formula   0.954 eV per atom

POSCAR file:
```
ZrMnCl2
1.0
4.7796 0.0000 0.0000
2.3898 4.1392 0.0000
2.3898 1.3797 3.9025
Zr Mn Cl
1 1 2
direct
0.7500 0.7500 0.7500 Zr
0.5000 0.5000 0.5000 Mn
0.2500 0.2500 0.2500 Cl
0.0000 0.0000 0.0000 Cl
```

Record 6
# ZrMnCl2

Crystalline ZrMnCl2 at its relaxed geometry (PBE, Alexandria).

Results
Space-group type   Pm
Distance to the lowest polymorph of the same formula   0.050 eV per atom

POSCAR file:
```
ZrMnCl2
1.0
3.3261 0.0000 0.0000
0.0000 3.4528 -0.0032
0.0000 1.6811 8.0155
Mn Zr Cl
1 1 2
direct
0.0000 0.5607 0.4992 Mn
0.5000 0.9645 0.6981 Zr
0.0000 0.8463 0.9428 Cl
0.5000 0.1284 0.3598 Cl
```

Record 7
# ZrMnCl2

Crystalline ZrMnCl2 at its relaxed geometry (PBE, Alexandria).

Results
Space-group type   C2/m
Distance to the lowest polymorph of the same formula   0.465 eV per atom

POSCAR file:
```
ZrMnCl2
1.0
-2.5018 3.9726 2.8370
-2.6435 -3.0599 -3.6804
-1.5476 -2.4950 1.4674
Cl Mn Zr
2 1 1
direct
0.5000 0.0000 0.5000 Cl
0.0000 0.0000 0.0000 Cl
0.0000 0.5000 0.5000 Mn
0.5000 0.5000 0.0000 Zr
```

Record 8
# ZrMn2Cl

Crystalline ZrMn2Cl at its relaxed geometry (PBE, Alexandria).

Results
Space-group type   I-42d
Distance to the lowest polymorph of the same formula   0.405 eV per atom

POSCAR file:
```
ZrMn2Cl
1.0
7.4181 0.0000 0.0000
0.0000 7.4181 0.0000
3.7091 3.7091 2.5923
Cl Zr Mn
2 2 4
direct
0.2500 0.7500 0.5000 Cl
0.5000 0.5000 0.0000 Cl
0.7500 0.2500 0.5000 Zr
0.0000 0.0000 0.0000 Zr
0.3750 0.4256 0.7500 Mn
0.8750 0.8244 0.7500 Mn
0.5744 0.1250 0.2500 Mn
0.1756 0.6250 0.2500 Mn
```

Record 9
# ZrMn2Cl

Crystalline ZrMn2Cl at its relaxed geometry (PBE, Alexandria).

Results
Space-group type   Amm2
Distance to the lowest polymorph of the same formula   0.000 eV per atom

POSCAR file:
```
ZrMn2Cl
1.0
3.0538 0.0000 0.0000
0.0000 3.0578 -0.0205
0.0000 1.5853 8.2109
Mn Cl Zr
2 1 1
direct
0.0000 0.7679 0.0898 Mn
0.5000 0.1924 0.2399 Mn
0.5000 0.9671 0.6906 Cl
0.0000 0.5726 0.4797 Zr
```

Record 10
# Zr3MnCl

Crystalline Zr3MnCl at its relaxed geometry (PBE, Alexandria).

Results
Space-group type   Pm-3m
Distance to the lowest polymorph of the same formula   0.000 eV per atom

POSCAR file:
```
Zr3MnCl
1.0
-2.6459 2.4249 3.3308
-0.6935 -4.1642 2.4808
4.0613 0.8688 2.5936
Zr Cl Mn
3 1 1
direct
0.0000 0.5000 0.0000 Zr
0.0000 0.0000 0.5000 Zr
0.5000 0.0000 0.0000 Zr
0.5000 0.5000 0.5000 Cl
0.0000 0.0000 0.0000 Mn
```

Record 11
# ZrMn2Cl

Crystalline ZrMn2Cl at its relaxed geometry (PBE, Alexandria).

Results
Space-group type   Cmmm
Distance to the lowest polymorph of the same formula   0.412 eV per atom

POSCAR file:
```
ZrMn2Cl
1.0
5.1846 -0.0031 0.0000
-2.5206 4.5307 0.0000
0.0000 0.0000 3.1250
Zr Mn Cl
1 2 1
direct
0.5000 0.0000 0.5000 Zr
0.5000 0.5000 0.0000 Mn
0.0000 0.0000 0.0000 Mn
0.0000 0.5000 0.5000 Cl
```

Record 12
# ZrMnCl4

Crystalline ZrMnCl4 at its relaxed geometry (PBE, Alexandria).

Results
Space-group type   F-43m

POSCAR file:
```
ZrMnCl4
1.0
0.0000 4.0505 4.0505
4.0505 0.0000 4.0505
4.0505 4.0505 0.0000
Mn Cl Zr
1 4 1
direct
0.7500 0.7500 0.7500 Mn
0.3747 0.8760 0.3747 Cl
0.8760 0.3747 0.3747 Cl
0.3747 0.3747 0.8760 Cl
0.3747 0.3747 0.3747 Cl
0.0000 0.0000 0.0000 Zr
```

Record 13
# ZrMn2Cl

Crystalline ZrMn2Cl at its relaxed geometry (PBE, Alexandria).

Results
Space-group type   P4/mmm
Distance to the lowest polymorph of the same formula   0.237 eV per atom

POSCAR file:
```
ZrMn2Cl
1.0
3.0887 0.0000 0.0000
0.0000 3.0887 0.0000
0.0000 0.0000 7.8570
Mn Zr Cl
2 1 1
direct
0.0000 0.0000 0.9960 Mn
0.0000 0.0000 0.5040 Mn
0.5000 0.5000 0.2500 Zr
0.5000 0.5000 0.7500 Cl
```

Record 14
# Zr4MnCl

Crystalline Zr4MnCl at its relaxed geometry (PBE, Alexandria).

Results
Space-group type   F-43m

POSCAR file:
```
Zr4MnCl
1.0
-1.5679 -4.6860 -3.0673
-0.5387 -5.1554 2.6376
-5.2693 -2.3422 0.7579
Zr Mn Cl
4 1 1
direct
0.3718 0.8845 0.3718 Zr
0.3718 0.3718 0.3718 Zr
0.8845 0.3718 0.3718 Zr
0.3718 0.3718 0.8845 Zr
0.0000 0.0000 0.0000 Mn
0.7500 0.7500 0.7500 Cl
```

Record 15
# ZrMn2Cl

Crystalline ZrMn2Cl at its relaxed geometry (PBE, Alexandria).

Results
Space-group type   P2/m
Distance to the lowest polymorph of the same formula   0.348 eV per atom

POSCAR file:
```
ZrMn2Cl
1.0
4.8141 0.0000 0.0000
0.0000 3.0286 0.0052
0.0000 0.0066 4.6561
Zr Cl Mn
1 1 2
direct
0.5000 0.2500 0.2500 Zr
0.5000 0.7500 0.7500 Cl
0.0000 0.9525 0.0139 Mn
0.0000 0.5475 0.4861 Mn
```

Record 16
# Mo2Cl

Crystalline Mo2Cl at its relaxed geometry (PBE, Alexandria).

Results
Space-group type   C2/m
Distance to the lowest polymorph of the same formula   0.000 eV per atom

POSCAR file:
```
Mo2Cl
1.0
1.5872 5.0492 0.0311
-1.5872 5.0492 0.0311
0.0000 2.1309 8.5360
Cl Mo
2 4
direct
0.1622 0.1622 0.8433 Cl
0.8378 0.8378 0.1567 Cl
0.3755 0.3755 0.6486 Mo
0.1223 0.1223 0.5632 Mo
0.8777 0.8777 0.4368 Mo
0.6245 0.6245 0.3514 Mo
```

Record 17
# Mo2Cl

Crystalline Mo2Cl at its relaxed geometry (PBE, Alexandria).

Results
Space-group type   P-3m1
Distance to the lowest polymorph of the same formula   0.402 eV per atom

POSCAR file:
```
Mo2Cl
1.0
2.9185 0.0000 0.0000
-1.4593 2.5275 0.0000
0.0000 0.0000 6.4457
Mo Cl
2 1
direct
0.6667 0.3333 0.3292 Mo
0.3333 0.6667 0.6708 Mo
0.0000 0.0000 0.0000 Cl
```

Record 18
# MoCl

Crystalline MoCl at its relaxed geometry (PBE, Alexandria).

Results
Space-group type   I4_1/amd
Distance to the lowest polymorph of the same formula   1.279 eV per atom

POSCAR file:
```
MoCl
1.0
4.9710 0.0076 0.0000
1.7968 4.6349 0.0000
-3.3839 -2.3212 2.8057
Mo Cl
2 2
direct
0.5000 0.5000 0.0000 Mo
0.7500 0.2500 0.5000 Mo
0.0000 0.0000 0.0000 Cl
0.2500 0.7500 0.5000 Cl
```

Record 19
# MoCl

Crystalline MoCl at its relaxed geometry (PBE, Alexandria).

Results
Space-group type   P4/nmm
Distance to the lowest polymorph of the same formula   0.876 eV per atom

POSCAR file:
```
MoCl
1.0
-2.8069 -1.0599 -2.4962
2.6885 -0.6163 -2.7614
0.5277 -5.4969 1.7405
Mo Cl
2 2
direct
0.7500 0.2500 0.0000 Mo
0.2500 0.7500 0.0000 Mo
0.7500 0.7500 0.7395 Cl
0.2500 0.2500 0.2605 Cl
```

Record 20
# MoCl

Crystalline MoCl at its relaxed geometry (PBE, Alexandria).

Results
Space-group type   Cm
Distance to the lowest polymorph of the same formula   0.356 eV per atom

POSCAR file:
```
MoCl
1.0
-2.4988 0.6527 -6.3027
-2.1979 -2.3811 -5.9912
-6.6215 -0.5643 0.9004
Mo Cl
3 3
direct
0.6822 0.6822 0.0273 Mo
0.1035 0.1035 0.2990 Mo
0.0168 0.0168 0.9968 Mo
0.4319 0.4319 0.2868 Cl
0.3367 0.3367 0.8656 Cl
0.5955 0.5955 0.6912 Cl
```

Record 21
# Mo2Cl3

Crystalline Mo2Cl3 at its relaxed geometry (PBE, Alexandria).

Results
Space-group type   Fdd2
Distance to the lowest polymorph of the same formula   0.401 eV per atom

POSCAR file:
```
Mo2Cl3
1.0
0.6984 -8.5568 1.2847
-4.4980 -6.1092 2.3390
-0.2031 -3.4381 -4.7162
Cl Mo
6 4
direct
0.7475 0.6264 0.3262 Cl
0.9238 0.9501 0.5025 Cl
0.0919 0.9081 0.9081 Cl
0.6236 0.5025 0.9501 Cl
0.2999 0.3262 0.6264 Cl
0.3419 0.1581 0.1581 Cl
0.3812 0.7055 0.4338 Mo
0.5445 0.8688 0.7705 Mo
0.4795 0.4338 0.7055 Mo
0.8162 0.7705 0.8688 Mo
```

Record 22
# MoCl

Crystalline MoCl at its relaxed geometry (PBE, Alexandria).

Results
Space-group type   R-3m
Distance to the lowest polymorph of the same formula   1.161 eV per atom

POSCAR file:
```
MoCl
1.0
0.9780 1.2412 5.3503
3.6005 -1.4699 3.9999
4.0309 2.3922 3.0253
Mo Cl
2 2
direct
0.0977 0.0977 0.0977 Mo
0.9023 0.9023 0.9023 Mo
0.4019 0.4019 0.4019 Cl
0.5981 0.5981 0.5981 Cl
```

Record 23
# Mo2Cl

Crystalline Mo2Cl at its relaxed geometry (PBE, Alexandria).

Results
Space-group type   Cm
Distance to the lowest polymorph of the same formula   0.205 eV per atom

POSCAR file:
```
Mo2Cl
1.0
1.5935 5.7427 -0.0250
-1.5935 5.7427 -0.0250
0.0000 2.4573 6.1290
Mo Cl
4 2
direct
0.2592 0.2592 0.2572 Mo
0.4948 0.4948 0.2872 Mo
0.0298 0.0298 0.5397 Mo
0.7703 0.7703 0.5285 Mo
0.9355 0.9355 0.9482 Cl
0.6772 0.6772 0.9391 Cl
```

Record 24
# MoCl4

Crystalline MoCl4 at its relaxed geometry (PBE, Alexandria).

Results
Space-group type   I-42m

POSCAR file:
```
MoCl4
1.0
5.2462 0.0000 -2.8272
-1.5235 5.0201 -2.8272
0.4013 0.5412 7.0258
Cl Mo
4 1
direct
0.6679 0.1023 0.7702 Cl
0.8977 0.8977 0.2298 Cl
0.3321 0.3321 0.2298 Cl
0.1023 0.6679 0.7702 Cl
0.0000 0.0000 0.0000 Mo
```

Record 25
# Mo2Cl

Crystalline Mo2Cl at its relaxed geometry (PBE, Alexandria).

Results
Space-group type   Cmcm
Distance to the lowest polymorph of the same formula   0.677 eV per atom

POSCAR file:
```
Mo2Cl
1.0
1.4605 -7.5184 0.0000
1.4605 7.5184 0.0000
0.0000 0.0000 4.4004
Mo Cl
4 2
direct
0.0418 0.9582 0.2500 Mo
0.9582 0.0418 0.7500 Mo
0.7031 0.2969 0.2500 Mo
0.2969 0.7031 0.7500 Mo
0.6387 0.3613 0.7500 Cl
0.3613 0.6387 0.2500 Cl
```

Record 26
# MoCl4

Crystalline MoCl4 at its relaxed geometry (PBE, Alexandria).

Results
Space-group type   C2/c

POSCAR file:
```
MoCl4
1.0
7.6731 0.0916 0.0000
2.7523 4.9077 0.0000
3.8366 0.0458 7.4740
Cl Mo
8 2
direct
0.9566 0.2241 0.6806 Cl
0.8410 0.7457 0.8730 Cl
0.7140 0.2457 0.1270 Cl
0.2860 0.7543 0.8730 Cl
0.1590 0.2543 0.1270 Cl
0.3628 0.2759 0.6806 Cl
0.0434 0.7759 0.3194 Cl
0.6372 0.7241 0.3194 Cl
0.9490 0.7500 0.1021 Mo
0.0510 0.2500 0.8979 Mo
```

Record 27
# MoCl5

Crystalline MoCl5 at its relaxed geometry (PBE, Alexandria).

Results
Space-group type   P4/mmm
Distance to the lowest polymorph of the same formula   1.016 eV per atom

POSCAR file:
```
MoCl5
1.0
-2.4063 -0.9314 -1.4009
1.6817 -1.3931 -1.9625
-0.2377 -13.6211 9.4650
Mo Cl
1 5
direct
0.5000 0.5000 0.0000 Mo
0.0000 0.0000 0.9097 Cl
0.5000 0.5000 0.7397 Cl
0.0000 0.0000 0.5000 Cl
0.0000 0.0000 0.0903 Cl
0.5000 0.5000 0.2603 Cl
```

Record 28
# MoCl

Crystalline MoCl at its relaxed geometry (PBE, Alexandria).

Results
Space-group type   P4/nmm
Distance to the lowest polymorph of the same formula   0.304 eV per atom

POSCAR file:
```
MoCl
1.0
-1.0742 -2.2279 -1.6161
2.0770 -1.7945 1.0932
-5.3645 -2.1941 6.5903
Cl Mo
2 2
direct
0.2500 0.2500 0.2091 Cl
0.7500 0.7500 0.7909 Cl
0.2500 0.2500 0.6076 Mo
0.7500 0.7500 0.3924 Mo
```

Record 29
# MoCl5

Crystalline MoCl5 at its relaxed geometry (PBE, Alexandria).

Results
Space-group type   Cm
Distance to the lowest polymorph of the same formula   0.643 eV per atom

POSCAR file:
```
MoCl5
1.0
1.5714 7.2026 0.3418
-1.5714 7.2026 0.3418
0.0000 2.8285 6.9506
Cl Mo
5 1
direct
0.2963 0.2963 0.1993 Cl
0.3376 0.3376 0.8150 Cl
0.0543 0.0543 0.0345 Cl
0.0863 0.0863 0.3615 Cl
0.6978 0.6978 0.7174 Cl
0.6943 0.6943 0.0390 Mo
```

| no. | mass density (g/cm³) | formation energy (no corrections) (eV/atom) |
| --- | --- | --- |
| 1 | 5.6 | 0.61 |
| 2 | 3.6 | -0.39 |
| 3 | 5.8 | 0.31 |
| 4 | 5.7 | 0.44 |
| 5 | 4.7 | 0.12 |
| 6 | 3.9 | -0.79 |
| 7 | 4.6 | -0.37 |
| 8 | 5.5 | 0.24 |
| 9 | 5.1 | -0.16 |
| 10 | 5.1 | 0.38 |
| 11 | 5.4 | 0.25 |
| 12 | 3.6 | 0.52 |
| 13 | 5.2 | 0.07 |
| 14 | 5.4 | 0.63 |
| 15 | 5.8 | 0.18 |
| 16 | 5.5 | -0.03 |
| 17 | 7.9 | 0.37 |
| 18 | 6.8 | 0.87 |
| 19 | 4.9 | 0.47 |
| 20 | 4.9 | -0.05 |
| 21 | 4.3 | -0.13 |
| 22 | 6.2 | 0.75 |
| 23 | 6.7 | 0.18 |
| 24 | 2.0 | -0.77 |
| 25 | 7.8 | 0.65 |
| 26 | 2.8 | -0.79 |
| 27 | 3.2 | 0.22 |
| 28 | 5.7 | -0.11 |
| 29 | 2.9 | -0.15 |